[1]
{"formula": "Ca3Y3MnS8", "functional": "GGA-PBE", "state": "optimized geometry", "n_ef_per_ev_cell": 3.5, "density_g_cm3": 3.3, "energy_ev_per_cell": -95.69, "lattice": [[3.918, 2.262, 6.534], [-3.918, 2.262, 6.534], [0.000, -4.525, 6.534]], "species": ["Ca", "Ca", "Ca", "Y", "Y", "Y", "Mn", "S", "S", "S", "S", "S", "S", "S", "S"], "fractional_positions": [[0.000, 0.500, 0.500], [0.500, 0.000, 0.500], [0.500, 0.500, 0.000], [0.000, 0.000, 0.500], [0.000, 0.500, 0.000], [0.500, 0.000, 0.000], [0.500, 0.500, 0.500], [0.248, 0.248, 0.248], [0.254, 0.739, 0.739], [0.261, 0.261, 0.746], [0.261, 0.746, 0.261], [0.739, 0.254, 0.739], [0.739, 0.739, 0.254], [0.746, 0.261, 0.261], [0.752, 0.752, 0.752]]}

=====

[2]
{"formula": "P2PbSe", "functional": "GGA-PBE", "state": "optimized geometry", "n_ef_per_ev_cell": 1.8, "density_g_cm3": 6.9, "energy_ev_per_cell": -15.68, "lattice": [[4.633, 0.000, 0.000], [0.000, 3.466, 0.000], [-0.131, 0.000, 5.219]], "species": ["P", "P", "Pb", "Se"], "fractional_positions": [[0.000, 0.000, 0.000], [0.000, 0.500, 0.500], [0.500, 0.000, 0.500], [0.500, 0.500, 0.000]]}

=====

[3]
{"formula": "Ba2Li2Tl", "functional": "GGA-PBE", "state": "optimized geometry", "formation_enthalpy_0k_kj_per_mol_atoms": -16.7, "n_ef_per_ev_cell": 9.5, "density_g_cm3": 4.7, "lattice": [[5.612, -3.401, 0.000], [5.612, 3.401, 0.000], [-2.108, 0.000, 9.201]], "species": ["Ba", "Ba", "Ba", "Ba", "Li", "Li", "Li", "Li", "Tl", "Tl"], "fractional_positions": [[0.040, 0.269, 0.156], [0.269, 0.040, 0.656], [0.731, 0.960, 0.344], [0.960, 0.731, 0.844], [0.282, 0.499, 0.506], [0.499, 0.282, 0.006], [0.501, 0.718, 0.994], [0.718, 0.501, 0.494], [0.346, 0.654, 0.250], [0.654, 0.346, 0.750]]}

=====

[4]
{"formula": "LaCo3Pt", "functional": "GGA-PBE", "state": "optimized geometry", "formation_enthalpy_0k_kj_per_mol_atoms": 148.7, "n_ef_per_ev_cell": 12.3, "density_g_cm3": 9.4, "lattice": [[4.493, 0.000, 0.000], [0.000, 4.493, 0.000], [0.000, 0.000, 4.493]], "species": ["La", "Co", "Co", "Co", "Pt"], "fractional_positions": [[0.000, 0.000, 0.000], [0.000, 0.000, 0.500], [0.000, 0.500, 0.000], [0.500, 0.000, 0.000], [0.500, 0.500, 0.500]]}

=====

[5]
{"formula": "PmHoErSc", "functional": "GGA-PBE", "state": "optimized geometry", "formation_enthalpy_0k_kj_per_mol_atoms": 9.2, "n_ef_per_ev_cell": 6.8, "density_g_cm3": 7.2, "lattice": [[6.032, -2.806, 0.000], [6.032, 2.806, 0.000], [-1.172, 0.000, 3.575]], "species": ["Pm", "Ho", "Er", "Sc"], "fractional_positions": [[0.000, 0.000, 0.000], [0.730, 0.730, 0.226], [0.268, 0.268, 0.764], [0.499, 0.499, 0.496]]}

=====

[6]
{"formula": "La7Tb2", "functional": "GGA-PBE", "state": "optimized geometry", "formation_enthalpy_0k_kj_per_mol_atoms": 1.6, "n_ef_per_ev_cell": 15.7, "density_g_cm3": 6.7, "lattice": [[6.388, 0.000, 0.000], [-3.194, 5.532, 0.000], [0.000, 0.000, 9.053]], "species": ["La", "La", "La", "La", "La", "La", "La", "Tb", "Tb"], "fractional_positions": [[0.000, 0.000, 0.000], [0.000, 0.333, 0.669], [0.000, 0.667, 0.331], [0.333, 0.000, 0.669], [0.333, 0.333, 0.331], [0.667, 0.000, 0.331], [0.667, 0.667, 0.669], [0.333, 0.667, 0.000], [0.667, 0.333, 0.000]]}

=====

[7]
{"formula": "AlGaTc", "functional": "GGA-PBE", "state": "optimized geometry", "formation_enthalpy_0k_kj_per_mol_atoms": 33.2, "n_ef_per_ev_cell": 3.1, "density_g_cm3": 6.3, "lattice": [[-1.358, 1.358, 7.010], [1.358, -1.358, 7.010], [1.358, 1.358, -7.010]], "species": ["Al", "Ga", "Tc"], "fractional_positions": [[0.000, 0.000, 0.000], [0.184, 0.184, 0.000], [0.820, 0.820, 0.000]]}

=====

[8]
{"formula": "YTm12Sc5", "functional": "GGA-PBE", "state": "optimized geometry", "formation_enthalpy_0k_kj_per_mol_atoms": 4.4, "n_ef_per_ev_cell": 26.3, "density_g_cm3": 7.6, "lattice": [[2.432, -7.325, 0.000], [2.432, 7.325, 0.000], [0.000, 0.000, 14.392]], "species": ["Y", "Tm", "Tm", "Tm", "Tm", "Tm", "Tm", "Tm", "Tm", "Tm", "Tm", "Tm", "Tm", "Sc", "Sc", "Sc", "Sc", "Sc"], "fractional_positions": [[0.000, 0.000, 0.000], [0.000, 0.000, 0.339], [0.000, 0.000, 0.661], [0.168, 0.832, 0.166], [0.168, 0.832, 0.834], [0.333, 0.667, 0.340], [0.333, 0.667, 0.660], [0.500, 0.500, 0.167], [0.500, 0.500, 0.833], [0.667, 0.333, 0.340], [0.667, 0.333, 0.660], [0.832, 0.168, 0.166], [0.832, 0.168, 0.834], [0.167, 0.833, 0.500], [0.331, 0.669, 0.000], [0.500, 0.500, 0.500], [0.669, 0.331, 0.000], [0.833, 0.167, 0.500]]}

=====

[9]
{"formula": "BaIn2Sn3", "functional": "GGA-PBE", "state": "optimized geometry", "formation_enthalpy_0k_kj_per_mol_atoms": -23.0, "n_ef_per_ev_cell": 2.0, "density_g_cm3": 6.2, "lattice": [[6.554, 0.000, 0.000], [-3.277, 5.676, 0.000], [0.000, 0.000, 5.199]], "species": ["Ba", "In", "In", "Sn", "Sn", "Sn"], "fractional_positions": [[0.000, 0.000, 0.000], [0.333, 0.667, 0.000], [0.667, 0.333, 0.000], [0.000, 0.500, 0.500], [0.500, 0.000, 0.500], [0.500, 0.500, 0.500]]}

=====

[10]
{"formula": "KYMo2", "functional": "GGA-PBE", "state": "optimized geometry", "formation_enthalpy_0k_kj_per_mol_atoms": 106.7, "n_ef_per_ev_cell": 4.7, "density_g_cm3": 4.8, "lattice": [[5.353, -1.386, 0.000], [5.353, 1.386, 0.000], [-0.159, 0.000, 7.406]], "species": ["K", "Y", "Mo", "Mo"], "fractional_positions": [[0.000, 0.000, 0.000], [0.500, 0.500, 0.500], [0.244, 0.244, 0.653], [0.756, 0.756, 0.347]]}

=====

[11]
{"formula": "BeNbSbI2", "functional": "GGA-PBE", "state": "optimized geometry", "n_ef_per_ev_cell": 2.6, "density_g_cm3": 4.7, "energy_ev_per_cell": -17.11, "lattice": [[5.576, 0.000, 0.000], [0.000, 5.576, 0.000], [0.000, 0.000, 5.464]], "species": ["Be", "Nb", "Sb", "I", "I"], "fractional_positions": [[0.000, 0.000, 0.000], [0.500, 0.500, 0.500], [0.500, 0.500, 0.000], [0.000, 0.500, 0.500], [0.500, 0.000, 0.500]]}

=====

[12]
{"formula": "AcGdEr2", "functional": "GGA-PBE", "state": "optimized geometry", "formation_enthalpy_0k_kj_per_mol_atoms": 6.3, "n_ef_per_ev_cell": 7.4, "density_g_cm3": 8.7, "lattice": [[3.725, 0.000, 0.000], [0.000, 3.725, 0.000], [0.000, 0.000, 9.910]], "species": ["Ac", "Gd", "Er", "Er"], "fractional_positions": [[0.000, 0.000, 0.000], [0.000, 0.000, 0.500], [0.500, 0.500, 0.263], [0.500, 0.500, 0.737]]}